Record 1
A relaxed structure of Te2Pt7, computed with GGA-PBE.

Results
* symmetry: No. 164
* magnetic moment: 0.000 μB/atom
* DFT total energy: -0.19136 Ha/atom
* calculated volume: 244.1 Å³/cell

Structure (POSCAR):
```
Te2Pt7
1.0
3.0130 0.0000 0.0000
-1.5065 2.6094 0.0000
0.0000 0.0000 31.0448
Pt Te
7 2
Cartesian
1.5065 0.8698 9.1349
0.0000 1.7396 11.3029
0.0000 0.0000 13.4285
1.5065 0.8698 15.5225
0.0000 1.7396 17.6165
0.0000 0.0000 19.7420
1.5065 0.8698 21.9115
0.0000 0.0000 6.9713
0.0000 1.7396 24.0715
```


Record 2
A relaxed structure of Te2Pt, computed with GGA-PBE.

Results
* symmetry: No. 31
* magnetic moment: 0.001 μB/atom
* DFT total energy: -0.16430 Ha/atom
* calculated volume: 320.9 Å³/cell

Structure (POSCAR):
```
Te2Pt
1.0
-1.6207 3.5262 -0.4491
-3.7041 -0.9813 5.6628
8.7831 4.8762 6.5902
Pt Te
4 8
Cartesian
-0.8764 1.7640 0.0204
-1.9095 -0.4858 3.0767
0.8799 1.5261 8.8078
1.9247 3.7824 5.7604
-2.0948 -0.2315 5.7424
-1.0441 2.0266 2.6877
-0.3607 2.8687 6.8336
2.3062 1.5993 4.2347
4.2007 4.6888 4.6633
3.1632 2.4381 7.7279
7.0348 4.1248 6.9997
4.3809 5.4014 9.6083
```


Record 3
A relaxed structure of TePt10, computed with GGA-PBE.

Results
* symmetry: No. 12
* magnetic moment: 0.000 μB/atom
* DFT total energy: -0.21326 Ha/atom
* calculated volume: 543.3 Å³/cell

Structure (POSCAR):
```
TePt10
1.0
4.3538 -1.9721 0.0000
4.3538 1.9721 0.0000
-0.0281 0.0000 31.6383
Pt Te
20 2
Cartesian
7.4042 0.0000 0.4470
4.7894 0.0000 1.3539
2.1758 0.0000 2.2352
8.2835 0.0000 3.1415
5.6798 0.0000 4.0531
3.0655 0.0000 4.9336
0.4279 0.0000 5.8721
6.5270 0.0000 6.7353
3.9497 0.0000 7.7440
1.3038 0.0000 8.7113
7.3757 0.0000 22.9270
4.7298 0.0000 23.8943
2.1525 0.0000 24.9031
8.2515 0.0000 25.7662
5.6140 0.0000 26.7047
2.9997 0.0000 27.5852
0.3960 0.0000 28.4968
6.5037 0.0000 29.4032
3.8901 0.0000 30.2844
1.2753 0.0000 31.1913
7.3416 0.0000 9.4785
1.3379 0.0000 22.1599
```


Record 4
A relaxed structure of Te8Pt, computed with GGA-PBE.

Results
* symmetry: No. 189
* magnetic moment: 0.001 μB/atom
* DFT total energy: -0.12215 Ha/atom
* calculated volume: 264.7 Å³/cell

Structure (POSCAR):
```
Te8Pt
1.0
-2.4938 6.9847 4.6825
-5.5747 -3.6919 -5.6765
-1.3337 -2.4012 2.8715
Pt Te
1 8
Cartesian
0.0000 0.0000 0.0000
-1.3031 3.6497 2.4467
-3.8525 1.5722 -0.4746
-2.9129 -1.9291 -2.9661
-1.1974 0.2854 2.4320
-1.8529 -1.9861 0.2281
-4.1876 2.2252 2.6652
-5.2146 -1.3337 -0.7878
-7.0188 1.3916 0.6532
```


Record 5
A relaxed structure of Te2Pt, computed with GGA-PBE.

Results
* symmetry: No. 186
* magnetic moment: 0.004 μB/atom
* DFT total energy: -0.16536 Ha/atom
* calculated volume: 161.0 Å³/cell

Structure (POSCAR):
```
Te2Pt
1.0
4.0276 0.0000 0.0000
-2.0138 3.4880 0.0000
0.0000 0.0000 11.4624
Pt Te
2 4
Cartesian
2.0138 1.1627 1.4363
0.0000 2.3253 7.1675
0.0000 0.0000 0.0369
0.0000 2.3253 2.8252
0.0000 0.0000 5.7680
2.0138 1.1627 8.5564
```


Record 6
A relaxed structure of TePt2, computed with GGA-PBE.

Results
* symmetry: No. 227
* magnetic moment: 0.001 μB/atom
* DFT total energy: -0.17816 Ha/atom
* calculated volume: 113.6 Å³/cell

Structure (POSCAR):
```
TePt2
1.0
0.0000 3.8443 3.8443
3.8443 0.0000 3.8443
3.8443 3.8443 0.0000
Pt Te
4 2
Cartesian
2.8832 2.8832 4.8053
2.8832 4.8053 2.8832
4.8053 2.8832 2.8832
4.8053 4.8053 4.8053
0.0000 0.0000 0.0000
1.9221 1.9221 1.9221
```


Record 7
A relaxed structure of Te2Pt9, computed with GGA-PBE.

Results
* symmetry: No. 164
* magnetic moment: 0.000 μB/atom
* DFT total energy: -0.19604 Ha/atom
* calculated volume: 267.0 Å³/cell

Structure (POSCAR):
```
Te2Pt9
1.0
-2.6375 -0.6360 -1.1525
2.0669 -2.0927 0.1944
-11.9543 -8.8131 32.2190
Pt Te
9 2
Cartesian
-2.5565 -3.8595 7.9799
-3.8007 -2.8020 10.2435
-5.5975 -4.4598 11.5006
-4.7530 -5.4788 13.8997
-5.9772 -4.4065 16.1095
-7.7720 -6.0629 17.3611
-6.9274 -7.0819 19.7602
-8.1536 -6.0111 21.9755
-9.9684 -7.6822 23.2810
-3.3752 -2.8215 5.5111
-9.1497 -8.7202 25.7498
```


Record 8
A relaxed structure of TePt17, computed with GGA-PBE.

Results
* symmetry: No. 143
* magnetic moment: 0.000 μB/atom
* DFT total energy: -0.21474 Ha/atom
* calculated volume: 799.8 Å³/cell

Structure (POSCAR):
```
TePt17
1.0
-1.4248 1.5907 5.0705
1.4901 -3.0197 4.3510
25.8755 16.0075 2.2501
Pt Te
34 2
Cartesian
5.8493 0.8982 6.0321
4.8483 2.1928 8.3342
4.3853 3.3003 5.7775
6.9804 4.3183 0.6070
6.2668 5.1180 3.1682
7.0292 3.5849 5.3091
7.7187 2.8278 2.7661
8.2694 6.1062 4.8830
8.9824 5.3093 2.3521
9.7251 3.8034 4.5268
9.0294 4.6061 7.0624
10.9729 6.2982 4.0928
11.7207 4.7887 6.2703
11.0067 5.5869 8.8038
10.2633 7.0942 6.6263
12.2220 8.7970 3.6599
12.9671 7.2870 5.8355
13.6795 6.4917 3.3004
12.9346 8.0018 1.1248
14.2143 9.7859 5.4008
15.6717 7.4804 5.0444
14.9282 8.9880 2.8670
14.9626 8.2768 7.5781
16.9074 9.9698 4.6087
16.2120 10.7726 7.1448
16.9549 9.2665 9.3188
17.6675 8.4702 6.7880
18.2227 11.7511 8.9074
18.9115 10.9955 6.3616
19.6757 9.4596 8.5024
18.8945 11.6888 1.6431
21.1101 12.3699 3.3342
21.5552 11.2879 5.9160
20.0904 13.6968 5.6219
4.1415 2.0718 3.4991
21.8335 12.5280 8.1754
```


Question: Among the records above, which one has the highest magnetic moment?
Answer: number 5


Question: Which value of calculated volume does entry 6 give?
Answer: 113.6 Å³/cell